First-principles (PBE+U) data for an optimized crystal structure of PmMn2PtO6, as listed in the Alexandria database.

Computed properties:
The value obtained for the total energy is -7.229 eV per atom.

a = 5.5139 Å, b = 5.3388 Å, c = 5.9455 Å
α = 62.02°, β = 61.10°, γ = 59.98°
Last column: nearest neighbours and their distance in Å.
Positions (direct):
O (0.1407, 0.3583, 0.7832)  1 Mn 2.01, 1 Pt 2.04
O (0.3589, 0.7353, 0.7694)  1 Mn 1.98, 1 Pt 2.05
O (0.2281, 0.9287, 0.2519)  2 Mn 2.07-2.27, 1 Pt 2.07
O (0.7140, 0.1580, 0.7503)  1 Pt 2.03, 1 Mn 2.19, 1 Pm 2.27
O (0.6138, 0.2297, 0.2166)  2 Mn 2.04-2.13, 1 Pt 2.11
O (0.9322, 0.6108, 0.2317)  2 Mn 2.03-2.10, 1 Pt 2.11
Mn (0.0047, 0.0028, 0.9779)  5 O 1.98-2.19
Mn (0.5341, 0.5300, 0.4048)  4 O 2.07-2.31
Pm (0.8081, 0.7863, 0.6030)  5 O 2.27-2.46
Pt (0.3270, 0.3217, 0.0264)  6 O 2.03-2.11